A plane-wave DFT calculation with PBE was carried out for an optimized crystal structure of MnCrSe3.

Cell: 6.347 6.347 6.839 Å, 90.00 90.00 120.00°
Last column: magnetic moment on the atom in μB.
Atoms (fractional coordinates):
Mn1 0.333 0.667 0.500  3.56
Mn2 0.667 0.333 0.500  3.56
Cr1 0.000 0.000 0.641  0.47
Cr2 0.000 0.000 0.359  0.47
Se1 0.000 0.643 0.727  -0.08
Se2 0.643 0.000 0.727  -0.08
Se3 0.000 0.357 0.273  -0.08
Se4 0.643 0.643 0.273  -0.08
Se5 0.357 0.357 0.727  -0.08
Se6 0.357 0.000 0.273  -0.08

Computed properties:
Fermi-level density of states (states/eV per cell): 2.7
Raw total energy (Ry per atom): -0.4512
Space-group type: P-31m, No. 162
Relative energy among the computed polymorphs (eV per formula unit): 0.00

***

A plane-wave DFT calculation with PBE was carried out for an optimized crystal structure of Cs3TeI8.

Cell: 9.942 11.885 11.885 Å, 120.00 90.00 90.00°
Last column: magnetic moment on the atom in μB.
Atoms (fractional coordinates):
Cs1 0.712 0.700 0.850  0.00
Cs2 0.712 0.150 0.300  0.00
Cs3 0.712 0.150 0.850  0.00
Cs4 0.212 0.300 0.150  0.00
Cs5 0.212 0.850 0.700  0.00
Cs6 0.212 0.850 0.150  0.00
Te1 0.143 0.333 0.667  0.00
Te2 0.643 0.667 0.333  0.00
I1 0.980 0.097 0.549  0.05
I2 0.980 0.451 0.903  0.05
I3 0.980 0.451 0.549  0.05
I4 0.480 0.903 0.451  0.05
I5 0.480 0.549 0.097  0.05
I6 0.480 0.549 0.451  0.05
I7 0.817 0.423 0.212  0.06
I8 0.817 0.788 0.577  0.06
I9 0.817 0.788 0.212  0.06
I10 0.317 0.577 0.788  0.06
I11 0.317 0.212 0.423  0.06
I12 0.317 0.212 0.788  0.06
I13 0.637 0.333 0.667  0.40
I14 0.137 0.667 0.333  0.40
I15 0.965 0.000 0.000  0.01
I16 0.465 0.000 0.000  0.01

Computed properties:
Fermi-level density of states (states/eV per cell): 19.2
Raw total energy (Ry per atom): -0.1682
Space-group type: P6_3mc, No. 186

***

A plane-wave DFT calculation with PBE was carried out for an optimized crystal structure of ScTlSb2.

Cell: 4.135 4.135 6.473 Å, 90.00 90.00 90.00°
Atoms (fractional coordinates):
Sb1 0.000 0.000 0.938
Sb2 0.500 0.500 0.342
Sc1 0.000 0.000 0.422
Tl1 0.500 0.500 0.798

Computed properties:
Fermi-level density of states (states/eV per cell): 1.5
Raw total energy (Ry per atom): -0.3325
Space-group type: P4mm, No. 99
Relative energy among the computed polymorphs (eV per formula unit): 0.29

***

A plane-wave DFT calculation with PBE was carried out for an optimized crystal structure of GaFeN2.

Cell: 6.250 6.250 6.250 Å, 25.95 25.95 25.95°
Last column: magnetic moment on the atom in μB.
Atoms (fractional coordinates):
Fe1 0.500 0.500 0.500  1.41
Ga1 0.000 0.000 0.000  -0.04
N1 0.892 0.892 0.892  0.00
N2 0.108 0.108 0.108  0.00

Computed properties:
Fermi-level density of states (states/eV per cell): 3.1
Raw total energy (Ry per atom): -0.4960
Space-group type: R-3m, No. 166

***

A plane-wave DFT calculation with PBE was carried out for an optimized crystal structure of ZrBe10Nb.

Cell: 3.406 4.503 7.798 Å, 90.00 90.00 90.00°
Atoms (fractional coordinates):
Zr1 0.000 0.500 0.500
Be1 0.000 0.000 0.326
Be2 0.000 0.500 0.841
Be3 0.000 0.500 0.159
Be4 0.000 0.000 0.674
Be5 0.500 0.000 0.500
Be6 0.500 0.500 0.000
Be7 0.500 0.246 0.242
Be8 0.500 0.754 0.758
Be9 0.500 0.754 0.242
Be10 0.500 0.246 0.758
Nb1 0.000 0.000 0.000

Computed properties:
Energy relative to the elements (eV/f.u.): -2.8
Fermi-level density of states (states/eV per cell): 2.9
Raw total energy (Ry per atom): -0.3596
Space-group type: Pmmm, No. 47

***

A plane-wave DFT calculation with PBE was carried out for an optimized crystal structure of Pm6PrCd2.

Cell: 3.840 6.740 12.059 Å, 75.46 80.84 73.45°
Atoms (fractional coordinates):
Pm1 0.685 0.507 0.124
Pm2 0.315 0.493 0.876
Pm3 0.312 0.791 0.586
Pm4 0.982 0.696 0.340
Pm5 0.018 0.304 0.660
Pm6 0.688 0.209 0.414
Pr1 0.000 0.000 0.000
Cd1 0.352 0.086 0.210
Cd2 0.648 0.914 0.790

Computed properties:
Energy relative to the elements (eV/f.u.): -1.2
Fermi-level density of states (states/eV per cell): 9.4
Raw total energy (Ry per atom): -0.2965
Space-group type: C2/m, No. 12
Relative energy among the computed polymorphs (eV per formula unit): 0.00